Entry 1:
Compound: Tb2Pr5Ge4
Source: Alexandria via LeMat-Bulk
Functional: PBE-GGA
Structure: optimized geometry

Values from the calculation:
N(E_F) = 1.124 states/eV/atom
formation energy from the elements = -0.29 eV/atom

Cell: 21.4449 3.8650 8.4253 Å, 90.00 95.45 90.00°
Last column: nearest neighbours and their distance in Å.
Space group C2/m (No. 12)
Asymmetric unit:
Tb 0.2347 0.0000 0.1642  1 Ge 2.87
Pr 0.0000 0.0000 0.5000  6 Ge 3.07-3.42
Pr 0.1002 0.5000 0.9307  4 Ge 2.97-3.10
Pr 0.1623 0.5000 0.4712  3 Ge 3.06-3.34
Ge 0.0285 0.5000 0.2339  2 Ge 2.54
Ge 0.1045 0.0000 0.2171  2 Ge 2.54

Entry 2:
Compound: Tm8CoRu2
Source: Alexandria via LeMat-Bulk
Functional: PBE-GGA
Structure: optimized geometry

Values from the calculation:
N(E_F) = 0.856 states/eV/atom
excess energy over the best structure of this formula in the dataset = 0.0501 eV per atom
formation energy from the elements = -0.21 eV/atom

Cell: 8.1835 12.3665 5.8111 Å, 90.00 110.37 90.00°
Last column: nearest neighbours and their distance in Å.
Space group Cm (No. 8)
Asymmetric unit:
Tm 0.0000 0.0000 0.0000  1 Co 2.92, 2 Ru 2.92
Tm 0.0578 0.3716 0.7932  2 Ru 2.74-2.76, 1 Co 2.90
Tm 0.1399 0.1301 0.5936  2 Ru 2.75-2.76, 1 Co 3.01
Tm 0.2141 0.5000 0.3781  1 Co 2.89, 2 Ru 2.96
Tm 0.3556 0.2072 0.1839  1 Co 2.73
Co 0.3625 0.0000 0.0260  8 Tm 2.73-3.01
Ru 0.3505 0.3106 0.7000  6 Tm 2.74-2.96

Entry 3:
Compound: PrTmZrN3
Source: Alexandria via LeMat-Bulk
Functional: PBE-GGA
Structure: optimized geometry

Values from the calculation:
N(E_F) = 0.275 states/eV/atom
uncorrected formation energy = -127 kJ per mole of atoms

Cell: 6.5246 3.3264 9.6225 Å, 90.00 94.00 90.00°
Last column: nearest neighbours and their distance in Å.
Space group P2_1/m (No. 11)
Asymmetric unit:
Pr 0.1631 0.2500 0.2178  6 N 2.53-2.62
Tm 0.1958 0.2500 0.5756  4 N 2.21-2.46
Zr 0.3492 0.7500 0.8919  3 N 2.08-2.19
N 0.1452 0.2500 0.8269  2 Zr 2.19
N 0.1551 0.7500 0.4254  3 Tm 2.21-2.29
N 0.3958 0.7500 0.1084  1 Zr 2.08

Entry 4:
Compound: Rb2CaZr
Source: Alexandria via LeMat-Bulk
Functional: PBE-GGA
Structure: optimized geometry

Values from the calculation:
N(E_F) = 3.701 states/eV/atom
excess energy over the best structure of this formula in the dataset = 0.0972 eV per atom
formation energy from the elements = 1.09 eV/atom

Cell: 9.2626 9.2626 9.2626 Å, 90.00 90.00 90.00°
Last column: nearest neighbours and their distance in Å.
Space group Fm-3m (No. 225)
Asymmetric unit:
Rb 0.2500 0.2500 0.2500  4 Zr 4.01, 4 Ca 4.01
Ca 0.0000 0.0000 0.0000  8 Rb 4.01
Zr 0.0000 0.0000 0.5000  8 Rb 4.01

Entry 5:
Compound: Ce3Al4Ga2
Source: Alexandria via LeMat-Bulk
Functional: PBE-GGA
Structure: optimized geometry

Values from the calculation:
N(E_F) = 1.386 states/eV/atom
excess energy over the best structure of this formula in the dataset = 0.0000 eV per atom
formation energy from the elements = -0.47 eV/atom

Cell: 10.6633 4.5843 8.7006 Å, 90.00 114.08 90.00°
Last column: nearest neighbours and their distance in Å.
Space group C2/m (No. 12)
Asymmetric unit:
Ce 0.0000 0.0000 0.0000  8 Al 3.15-3.22, 4 Ga 3.19
Ce 0.1682 0.5000 0.6648  8 Al 3.16-3.25, 4 Ga 3.17-3.21
Al 0.0485 0.0000 0.3819  2 Ga 2.65, 1 Al 2.65
Al 0.2279 0.5000 0.0617  1 Ga 2.65, 2 Al 2.65
Ga 0.1108 0.5000 0.2777  3 Al 2.65

Entry 6:
Compound: Ac3PS6
Source: Alexandria via LeMat-Bulk
Functional: PBE-GGA
Structure: optimized geometry

Values from the calculation:
N(E_F) = 0.000 states/eV/atom
uncorrected formation energy = -160 kJ per mole of atoms

Cell: 11.3685 14.0444 7.5340 Å, 90.00 90.00 90.00°
Last column: nearest neighbours and their distance in Å.
Space group Cmc2_1 (No. 36)
Asymmetric unit:
Ac 0.0000 0.1042 0.0000  7 S 2.93-3.19
Ac 0.1905 0.3956 0.9519  6 S 2.89-3.13
P 0.0000 0.3176 0.3576  3 S 2.16-2.21
S 0.0000 0.2848 0.8054  3 Ac 2.89-2.93
S 0.0000 0.4585 0.2272  1 P 2.21
S 0.1494 0.2465 0.2416  1 P 2.16
S 0.1613 0.0154 0.7262  4 Ac 2.93-3.03